Here is crystalline MgAl2MoO6 at its relaxed geometry from Alexandria. Energies are from PBE with a Hubbard U.

Cell lengths 5.604, 6.944, 6.944 Å; angles 79.83, 72.26, 72.26 degrees
Site moments in Bohr magnetons follow the coordinates.
Fractional positions:
Al: 0.824 0.623 0.786  0.01
O: 0.828 0.023 0.206  0.01
Mg: 0.250 0.905 0.095  0.00
O: 0.859 0.359 0.849  0.00
O: 0.670 0.711 0.589  0.01
Al: 0.324 0.786 0.623  0.01
O: 0.328 0.206 0.023  0.01
Mo: 0.750 0.738 0.262  1.87
O: 0.830 0.411 0.289  0.01
Al: 0.176 0.377 0.214  0.01
O: 0.170 0.589 0.711  0.01
O: 0.172 0.977 0.794  0.01
O: 0.141 0.641 0.151  0.00
Al: 0.676 0.214 0.377  0.01
Mg: 0.750 0.095 0.905  0.00
O: 0.330 0.289 0.411  0.01
O: 0.641 0.151 0.641  0.00
Mo: 0.250 0.262 0.738  1.87
O: 0.672 0.794 0.977  0.01
O: 0.359 0.849 0.359  0.00

## Properties
**ρ**: 3.677 Mg/m³
**SG**: C2/c, No. 15
**Calculated volume**: 244.1 Å³/cell
**Crystal system**: monoclinic
**Raw total energy**: -142.01 eV per cell